[1]
{"formula": "LiHo6Te8", "functional": "GGA-PBE", "state": "relaxed", "lattice_angstrom": [[0.000, 6.109, 6.109], [6.109, 0.000, 6.109], [6.109, 6.109, 0.000]], "species": ["Li", "Ho", "Ho", "Ho", "Ho", "Ho", "Ho", "Te", "Te", "Te", "Te", "Te", "Te", "Te", "Te"], "fractional_positions": [[0.000, 0.000, 0.000], [0.000, 0.000, 0.500], [0.000, 0.500, 0.000], [0.000, 0.500, 0.500], [0.500, 0.000, 0.000], [0.500, 0.000, 0.500], [0.500, 0.500, 0.000], [0.250, 0.250, 0.250], [0.250, 0.250, 0.750], [0.250, 0.750, 0.250], [0.250, 0.750, 0.750], [0.750, 0.250, 0.250], [0.750, 0.250, 0.750], [0.750, 0.750, 0.250], [0.750, 0.750, 0.750]], "magmom_total_mub_per_cell": 0.00, "final_energy_ev_per_atom": -4.9391}

[2]
{"formula": "CaTc", "functional": "GGA-PBE", "state": "relaxed", "lattice_angstrom": [[4.907, 0.000, 0.000], [0.000, 10.983, 0.000], [0.000, 0.000, 3.806]], "species": ["Ca", "Ca", "Ca", "Ca", "Tc", "Tc", "Tc", "Tc"], "fractional_positions": [[0.000, 0.137, 0.250], [0.000, 0.863, 0.750], [0.500, 0.363, 0.750], [0.500, 0.637, 0.250], [0.000, 0.439, 0.250], [0.000, 0.561, 0.750], [0.500, 0.061, 0.750], [0.500, 0.939, 0.250]], "magmom_total_mub_per_cell": 0.03, "final_energy_ev_per_atom": -5.7905, "formation_energy_ev_per_atom": 0.3933, "polymorph_energy_ev_per_fu": 0.361}

[3]
{"formula": "GdErHf2", "functional": "GGA-PBE", "state": "relaxed", "lattice_angstrom": [[3.306, 0.000, 0.000], [-1.653, 2.863, 0.000], [0.000, 0.000, 32.751]], "species": ["Gd", "Gd", "Gd", "Er", "Er", "Er", "Hf", "Hf", "Hf", "Hf", "Hf", "Hf"], "fractional_positions": [[0.000, 0.000, 0.000], [0.333, 0.667, 0.667], [0.667, 0.333, 0.333], [0.000, 0.000, 0.500], [0.333, 0.667, 0.167], [0.667, 0.333, 0.833], [0.000, 0.000, 0.249], [0.000, 0.000, 0.751], [0.333, 0.667, 0.417], [0.333, 0.667, 0.916], [0.667, 0.333, 0.084], [0.667, 0.333, 0.583]], "magmom_total_mub_per_cell": 20.71, "final_energy_ev_per_atom": -9.4468, "formation_energy_ev_per_atom": 0.1908, "polymorph_energy_ev_per_fu": 0.032}

[4]
{"formula": "ErPuFe4", "functional": "GGA-PBE", "state": "relaxed", "lattice_angstrom": [[0.000, 3.599, 3.599], [3.599, 0.000, 3.599], [3.599, 3.599, 0.000]], "species": ["Er", "Pu", "Fe", "Fe", "Fe", "Fe"], "fractional_positions": [[0.000, 0.000, 0.000], [0.250, 0.250, 0.250], [0.126, 0.625, 0.625], [0.625, 0.126, 0.625], [0.625, 0.625, 0.126], [0.625, 0.625, 0.625]], "magmom_total_mub_per_cell": 2.50, "final_energy_ev_per_atom": -8.8819, "formation_energy_ev_per_atom": -0.0910}

[5]
{"formula": "CsZrInI6", "functional": "GGA-PBE", "state": "relaxed", "lattice_angstrom": [[8.373, 0.000, 0.000], [-4.187, 7.251, 0.000], [0.000, 0.000, 16.143]], "species": ["Cs", "Cs", "Zr", "Zr", "In", "In", "I", "I", "I", "I", "I", "I", "I", "I", "I", "I", "I", "I"], "fractional_positions": [[0.000, 0.000, 0.000], [0.000, 0.000, 0.500], [0.333, 0.667, 0.250], [0.667, 0.333, 0.750], [0.333, 0.667, 0.750], [0.667, 0.333, 0.250], [0.046, 0.392, 0.146], [0.046, 0.654, 0.354], [0.346, 0.392, 0.354], [0.346, 0.954, 0.146], [0.392, 0.046, 0.646], [0.392, 0.346, 0.854], [0.608, 0.654, 0.146], [0.608, 0.954, 0.354], [0.654, 0.046, 0.854], [0.654, 0.608, 0.646], [0.954, 0.346, 0.646], [0.954, 0.608, 0.854]], "magmom_total_mub_per_cell": 0.00, "final_energy_ev_per_atom": -3.3487}

[6]
{"formula": "PuCdH7Rh2", "functional": "GGA-PBE", "state": "relaxed", "lattice_angstrom": [[-1.811, 1.811, 8.513], [1.811, -1.811, 8.513], [1.811, 1.811, -8.513]], "species": ["Pu", "Cd", "H", "H", "H", "H", "H", "H", "H", "Rh", "Rh"], "fractional_positions": [[0.000, 0.000, 0.000], [0.750, 0.250, 0.500], [0.104, 0.604, 0.500], [0.288, 0.288, 0.000], [0.396, 0.896, 0.500], [0.500, 0.500, 0.000], [0.598, 0.098, 0.500], [0.712, 0.712, 0.000], [0.902, 0.402, 0.500], [0.390, 0.390, 0.000], [0.610, 0.610, 0.000]], "magmom_total_mub_per_cell": 5.24, "final_energy_ev_per_atom": -5.0277}

[7]
{"formula": "Tm2Cr2C3", "functional": "GGA-PBE", "state": "relaxed", "lattice_angstrom": [[10.441, 0.000, 0.000], [0.000, 3.314, 0.000], [-1.539, 0.000, 5.280]], "species": ["Tm", "Tm", "Tm", "Tm", "Cr", "Cr", "Cr", "Cr", "C", "C", "C", "C", "C", "C"], "fractional_positions": [[0.108, 0.000, 0.317], [0.392, 0.500, 0.683], [0.608, 0.500, 0.317], [0.892, 0.000, 0.683], [0.155, 0.500, 0.887], [0.345, 0.000, 0.113], [0.655, 0.000, 0.887], [0.845, 0.500, 0.113], [0.000, 0.500, 0.000], [0.219, 0.000, 0.765], [0.281, 0.500, 0.235], [0.500, 0.000, 0.000], [0.719, 0.500, 0.765], [0.781, 0.000, 0.235]], "magmom_total_mub_per_cell": 0.00, "final_energy_ev_per_atom": -8.3295, "formation_energy_ev_per_atom": -0.3493}

[8]
{"formula": "La2GeW", "functional": "GGA-PBE", "state": "relaxed", "lattice_angstrom": [[8.403, 0.000, 0.000], [0.000, 8.403, 0.000], [0.000, 0.000, 5.832]], "species": ["La", "La", "La", "La", "La", "La", "La", "La", "Ge", "Ge", "Ge", "Ge", "W", "W", "W", "W"], "fractional_positions": [[0.203, 0.750, 0.125], [0.250, 0.203, 0.875], [0.250, 0.297, 0.375], [0.297, 0.750, 0.625], [0.703, 0.250, 0.625], [0.750, 0.703, 0.375], [0.750, 0.797, 0.875], [0.797, 0.250, 0.125], [0.000, 0.000, 0.500], [0.000, 0.500, 0.750], [0.500, 0.000, 0.250], [0.500, 0.500, 0.000], [0.000, 0.000, 0.000], [0.000, 0.500, 0.250], [0.500, 0.000, 0.750], [0.500, 0.500, 0.500]], "magmom_total_mub_per_cell": 0.00, "final_energy_ev_per_atom": -6.3101, "formation_energy_ev_per_atom": 0.5462}

[9]
{"formula": "RbFeAuI2", "functional": "GGA-PBE", "state": "relaxed", "lattice_angstrom": [[6.698, 0.000, 0.000], [0.000, 6.698, 0.000], [0.000, 0.000, 5.841]], "species": ["Rb", "Fe", "Au", "I", "I"], "fractional_positions": [[0.000, 0.000, 0.000], [0.500, 0.500, 0.500], [0.000, 0.000, 0.500], [0.000, 0.500, 0.000], [0.500, 0.000, 0.000]], "magmom_total_mub_per_cell": 3.88, "final_energy_ev_per_atom": -2.2012}

[10]
{"formula": "Ge2WI", "functional": "GGA-PBE", "state": "relaxed", "lattice_angstrom": [[6.359, 0.000, 0.000], [0.000, 6.359, 0.000], [0.000, 0.000, 12.420]], "species": ["Ge", "Ge", "Ge", "Ge", "Ge", "Ge", "Ge", "Ge", "W", "W", "W", "W", "I", "I", "I", "I"], "fractional_positions": [[0.157, 0.250, 0.125], [0.250, 0.657, 0.375], [0.250, 0.843, 0.875], [0.343, 0.250, 0.625], [0.657, 0.750, 0.625], [0.750, 0.157, 0.875], [0.750, 0.343, 0.375], [0.843, 0.750, 0.125], [0.000, 0.000, 0.000], [0.000, 0.500, 0.250], [0.500, 0.000, 0.750], [0.500, 0.500, 0.500], [0.000, 0.000, 0.500], [0.000, 0.500, 0.750], [0.500, 0.000, 0.250], [0.500, 0.500, 0.000]], "magmom_total_mub_per_cell": 0.00, "final_energy_ev_per_atom": -5.0125, "polymorph_energy_ev_per_fu": 0.000}

[11]
{"formula": "YAlAu2", "functional": "GGA-PBE", "state": "relaxed", "lattice_angstrom": [[7.839, 0.000, 0.000], [0.000, 7.175, 0.000], [0.000, 0.000, 5.715]], "species": ["Y", "Y", "Y", "Y", "Al", "Al", "Al", "Al", "Au", "Au", "Au", "Au", "Au", "Au", "Au", "Au"], "fractional_positions": [[0.044, 0.250, 0.149], [0.456, 0.750, 0.649], [0.544, 0.250, 0.351], [0.956, 0.750, 0.851], [0.111, 0.750, 0.353], [0.389, 0.250, 0.853], [0.611, 0.750, 0.147], [0.889, 0.250, 0.647], [0.181, 0.048, 0.601], [0.181, 0.452, 0.601], [0.319, 0.548, 0.101], [0.319, 0.952, 0.101], [0.681, 0.048, 0.899], [0.681, 0.452, 0.899], [0.819, 0.548, 0.399], [0.819, 0.952, 0.399]], "magmom_total_mub_per_cell": 0.00, "final_energy_ev_per_atom": -4.9391, "formation_energy_ev_per_atom": -0.7488}

[12]
{"formula": "MoOsRu", "functional": "GGA-PBE", "state": "relaxed", "lattice_angstrom": [[4.344, 0.000, 0.000], [-2.172, 3.762, 0.000], [0.000, 0.000, 5.473]], "species": ["Mo", "Mo", "Os", "Os", "Ru", "Ru"], "fractional_positions": [[0.000, 0.000, 0.000], [0.000, 0.000, 0.500], [0.333, 0.667, 0.250], [0.667, 0.333, 0.750], [0.333, 0.667, 0.750], [0.667, 0.333, 0.250]], "magmom_total_mub_per_cell": 0.00, "final_energy_ev_per_atom": -10.3138, "formation_energy_ev_per_atom": 0.1318, "polymorph_energy_ev_per_fu": 0.146}

[13]
{"formula": "PmNi2Pt5", "functional": "GGA-PBE", "state": "relaxed", "lattice_angstrom": [[3.835, 0.000, 0.000], [0.000, 7.495, 0.000], [0.000, 0.000, 9.355]], "species": ["Pm", "Pm", "Ni", "Ni", "Ni", "Ni", "Pt", "Pt", "Pt", "Pt", "Pt", "Pt", "Pt", "Pt", "Pt", "Pt"], "fractional_positions": [[0.000, 0.000, 0.000], [0.500, 0.500, 0.500], [0.000, 0.500, 0.268], [0.000, 0.500, 0.732], [0.500, 0.000, 0.232], [0.500, 0.000, 0.768], [0.000, 0.187, 0.348], [0.000, 0.187, 0.652], [0.000, 0.500, 0.000], [0.000, 0.813, 0.348], [0.000, 0.813, 0.652], [0.500, 0.000, 0.500], [0.500, 0.313, 0.152], [0.500, 0.313, 0.848], [0.500, 0.687, 0.152], [0.500, 0.687, 0.848]], "magmom_total_mub_per_cell": 2.92, "final_energy_ev_per_atom": -6.1642, "formation_energy_ev_per_atom": -0.3496}

[14]
{"formula": "BiRuI2O", "functional": "GGA-PBE", "state": "relaxed", "lattice_angstrom": [[6.220, 0.000, 0.000], [0.000, 6.220, 0.000], [0.000, 0.000, 4.275]], "species": ["Bi", "Ru", "I", "I", "O"], "fractional_positions": [[0.000, 0.000, 0.000], [0.500, 0.500, 0.500], [0.000, 0.500, 0.000], [0.500, 0.000, 0.000], [0.000, 0.000, 0.500]], "magmom_total_mub_per_cell": 3.03, "final_energy_ev_per_atom": -3.6097, "polymorph_energy_ev_per_fu": 3.391}

[15]
{"formula": "V2MoRh2", "functional": "GGA-PBE", "state": "relaxed", "lattice_angstrom": [[7.250, 0.000, 0.000], [0.000, 7.250, 0.000], [0.000, 0.000, 2.757]], "species": ["V", "V", "V", "V", "Mo", "Mo", "Rh", "Rh", "Rh", "Rh"], "fractional_positions": [[0.160, 0.340, 0.000], [0.340, 0.840, 0.000], [0.660, 0.160, 0.000], [0.840, 0.660, 0.000], [0.000, 0.000, 0.000], [0.500, 0.500, 0.000], [0.139, 0.639, 0.500], [0.361, 0.139, 0.500], [0.639, 0.861, 0.500], [0.861, 0.361, 0.500]], "magmom_total_mub_per_cell": 0.00, "final_energy_ev_per_atom": -8.8992, "formation_energy_ev_per_atom": -0.1449, "polymorph_energy_ev_per_fu": 0.000}

[16]
{"formula": "Sc3ZnTc", "functional": "GGA-PBE", "state": "relaxed", "lattice_angstrom": [[4.889, 0.000, 0.000], [0.000, 4.889, 0.000], [0.000, 0.000, 4.889]], "species": ["Sc", "Sc", "Sc", "Zn", "Tc"], "fractional_positions": [[0.000, 0.000, 0.500], [0.000, 0.500, 0.000], [0.500, 0.000, 0.000], [0.000, 0.000, 0.000], [0.500, 0.500, 0.500]], "magmom_total_mub_per_cell": 0.98, "final_energy_ev_per_atom": -5.3612, "formation_energy_ev_per_atom": 0.7657, "polymorph_energy_ev_per_fu": 5.098}

[17]
{"formula": "Nb2VIrRh", "functional": "GGA-PBE", "state": "relaxed", "lattice_angstrom": [[4.778, 0.000, 0.000], [0.000, 4.778, 0.000], [0.000, 0.000, 4.776]], "species": ["Nb", "Nb", "V", "Ir", "Rh"], "fractional_positions": [[0.000, 0.500, 0.000], [0.500, 0.000, 0.000], [0.000, 0.000, 0.500], [0.500, 0.500, 0.000], [0.500, 0.500, 0.500]], "magmom_total_mub_per_cell": 0.27, "final_energy_ev_per_atom": -7.7508, "formation_energy_ev_per_atom": 1.3433}

[18]
{"formula": "Ho6As5P", "functional": "GGA-PBE", "state": "relaxed", "lattice_angstrom": [[3.536, -6.122, 0.000], [3.536, 6.122, 0.000], [-2.356, 0.000, 6.664]], "species": ["Ho", "Ho", "Ho", "Ho", "Ho", "Ho", "As", "As", "As", "As", "As", "P"], "fractional_positions": [[0.082, 0.411, 0.747], [0.246, 0.246, 0.252], [0.411, 0.082, 0.747], [0.589, 0.918, 0.253], [0.754, 0.754, 0.748], [0.918, 0.589, 0.253], [0.168, 0.832, 0.000], [0.333, 0.667, 0.500], [0.500, 0.500, 0.000], [0.667, 0.333, 0.500], [0.832, 0.168, 0.000], [0.000, 0.000, 0.500]], "magmom_total_mub_per_cell": 0.00, "final_energy_ev_per_atom": -6.2182, "formation_energy_ev_per_atom": -1.5412}

[19]
{"formula": "Pm3Pr3Zn2Hg", "functional": "GGA-PBE", "state": "relaxed", "lattice_angstrom": [[8.792, 0.000, 0.000], [-4.396, 7.614, 0.000], [0.000, 0.000, 3.923]], "species": ["Pm", "Pm", "Pm", "Pr", "Pr", "Pr", "Zn", "Zn", "Hg"], "fractional_positions": [[0.000, 0.711, 0.000], [0.289, 0.289, 0.000], [0.711, 0.000, 0.000], [0.000, 0.384, 0.500], [0.384, 0.000, 0.500], [0.616, 0.616, 0.500], [0.333, 0.667, 0.000], [0.667, 0.333, 0.000], [0.000, 0.000, 0.500]], "magmom_total_mub_per_cell": 0.00, "final_energy_ev_per_atom": -3.6689, "formation_energy_ev_per_atom": -0.1755}

[20]
{"formula": "K2ZrOs", "functional": "GGA-PBE", "state": "relaxed", "lattice_angstrom": [[7.453, 0.000, 0.000], [0.000, 7.453, 0.000], [0.000, 0.000, 7.453]], "species": ["K", "K", "K", "K", "K", "K", "K", "K", "Zr", "Zr", "Zr", "Zr", "Os", "Os", "Os", "Os"], "fractional_positions": [[0.250, 0.250, 0.250], [0.250, 0.250, 0.750], [0.250, 0.750, 0.250], [0.250, 0.750, 0.750], [0.750, 0.250, 0.250], [0.750, 0.250, 0.750], [0.750, 0.750, 0.250], [0.750, 0.750, 0.750], [0.000, 0.000, 0.000], [0.000, 0.500, 0.500], [0.500, 0.000, 0.500], [0.500, 0.500, 0.000], [0.000, 0.000, 0.500], [0.000, 0.500, 0.000], [0.500, 0.000, 0.000], [0.500, 0.500, 0.500]], "magmom_total_mub_per_cell": 0.01, "final_energy_ev_per_atom": -3.4485, "formation_energy_ev_per_atom": 2.0447, "polymorph_energy_ev_per_fu": 6.494}